# 1
A PBEsol-optimized structure of ZnTeO3. Source: Alexandria, functional SCAN.

abc: 3.8416 3.8416 3.8416
angles: 90.00 90.00 90.00
Fractional positions:
Zn1 0.0000 0.0000 0.0000
Te1 0.5000 0.5000 0.5000
O1 0.0000 0.5000 0.0000
O2 0.0000 0.0000 0.5000
O3 0.5000 0.0000 0.0000

Output
- mass density (g/cm3) = 7.1
- SG = Pm-3m, No. 221
- formation energy without anion corrections (eV/atom) = -0.38
- E_tot (eV for the cell shown) = -71.38

# 2
A PBEsol-optimized structure of Ru2RhW. Source: Alexandria, functional SCAN.

abc: 2.6963 3.7986 5.4486
angles: 90.00 90.00 90.00
Fractional positions:
Rh1 0.5000 0.5000 0.5000
Ru1 0.0000 0.0000 0.7441
Ru2 0.0000 0.0000 0.2559
W1 0.5000 0.5000 0.0000

Output
- mass density (g/cm3) = 14.5
- energy of formation (meV/atom) = 38
- SG = Pmmm, No. 47
- E_tot (eV for the cell shown) = -172.96

# 3
A PBEsol-optimized structure of TaTi2BrO. Source: Alexandria, functional SCAN.

abc: 4.1937 4.1687 4.1687
angles: 90.00 90.00 90.00
Fractional positions:
Ti1 0.0000 0.0000 0.5000
Ti2 0.0000 0.5000 0.0000
O1 0.0000 0.0000 0.0000
Br1 0.5000 0.5000 0.5000
Ta1 0.5000 0.0000 0.0000

Output
- mass density (g/cm3) = 8.5
- SG = P4/mmm, No. 123
- formation energy without anion corrections (eV/atom) = -0.37
- E_tot (eV for the cell shown) = -126.19

# 4
A PBEsol-optimized structure of FeMoOs. Source: Alexandria, functional SCAN.

abc: 2.6765 2.6765 6.5215
angles: 90.00 90.00 120.00
Fractional positions:
Fe1 0.0000 0.0000 0.0071
Mo1 0.6667 0.3333 0.6728
Os1 0.3333 0.6667 0.3201

Output
- mass density (g/cm3) = 14.0
- energy of formation (meV/atom) = 238
- SG = P3m1, No. 156
- E_tot (eV for the cell shown) = -124.18

# 5
A PBEsol-optimized structure of YTlTe2. Source: Alexandria, functional SCAN.

abc: 4.2385 4.6250 6.1742
angles: 90.00 110.07 90.00
Fractional positions:
Te1 0.1058 0.0000 0.2117
Te2 0.3803 0.5000 0.7605
Tl1 0.8549 0.0000 0.7097
Y1 0.6683 0.5000 0.3367

Output
- mass density (g/cm3) = 8.0
- SG = Amm2, No. 38
- formation energy without anion corrections (eV/atom) = -1.00
- E_tot (eV for the cell shown) = -178.69

# 6
A PBEsol-optimized structure of PN3Cl. Source: Alexandria, functional SCAN.

abc: 3.6745 3.6745 3.6745
angles: 90.00 90.00 90.00
Fractional positions:
P1 0.5000 0.5000 0.5000
N1 0.0000 0.5000 0.0000
N2 0.0000 0.0000 0.5000
N3 0.5000 0.0000 0.0000
Cl1 0.0000 0.0000 0.0000

Output
- mass density (g/cm3) = 3.6
- SG = Pm-3m, No. 221
- formation energy without anion corrections (eV/atom) = 3.09
- E_tot (eV for the cell shown) = -30.81